{
  "formula": "NdTlAgCl5",
  "functional": "PBE-GGA",
  "state": "optimized geometry",
  "lattice": [[7.743, -0.181, -0.042], [-2.433, 7.353, -0.042], [-2.237, -3.021, 9.628]],
  "species": ["Cl", "Cl", "Cl", "Cl", "Cl", "Cl", "Cl", "Cl", "Cl", "Cl", "Nd", "Nd", "Tl", "Tl", "Ag", "Ag"],
  "fractional_positions": [[0.740, 0.628, 0.438], [0.081, 0.919, 0.250], [0.688, 0.078, 0.394], [0.919, 0.081, 0.750], [0.922, 0.312, 0.106], [0.312, 0.922, 0.606], [0.372, 0.260, 0.062], [0.078, 0.688, 0.894], [0.628, 0.740, 0.938], [0.260, 0.372, 0.562], [0.000, 0.000, 0.500], [0.000, 0.000, 0.000], [0.354, 0.646, 0.250], [0.646, 0.354, 0.750], [0.687, 0.313, 0.250], [0.313, 0.687, 0.750]],
  "dos_at_fermi_per_ev_fu": 0.00,
  "formation_energy_uncorrected_ev_per_atom": -1.5016
}

{
  "formula": "NiAg3Cl6",
  "functional": "PBE-GGA",
  "state": "optimized geometry",
  "lattice": [[-6.272, -1.571, 4.157], [-0.078, -6.938, -3.308], [4.689, -2.385, 5.604]],
  "species": ["Cl", "Cl", "Cl", "Cl", "Cl", "Cl", "Cl", "Cl", "Cl", "Cl", "Cl", "Cl", "Ag", "Ag", "Ag", "Ag", "Ag", "Ag", "Ni", "Ni"],
  "fractional_positions": [[0.070, 0.909, 0.711], [0.787, 0.448, 0.584], [0.289, 0.930, 0.091], [0.584, 0.787, 0.448], [0.930, 0.091, 0.289], [0.552, 0.416, 0.213], [0.416, 0.213, 0.552], [0.909, 0.711, 0.070], [0.213, 0.552, 0.416], [0.711, 0.070, 0.909], [0.091, 0.289, 0.930], [0.448, 0.584, 0.787], [0.065, 0.256, 0.580], [0.935, 0.744, 0.420], [0.420, 0.935, 0.744], [0.580, 0.065, 0.256], [0.256, 0.580, 0.065], [0.744, 0.420, 0.935], [0.500, 0.500, 0.500], [0.000, 0.000, 0.000]],
  "dos_at_fermi_per_ev_fu": 2.93,
  "relative_energy_mev_per_atom": 0,
  "formation_energy_uncorrected_ev_per_atom": -0.4399
}

{
  "formula": "Ni3AgCl8",
  "functional": "PBE-GGA",
  "state": "optimized geometry",
  "lattice": [[7.164, 0.000, 0.000], [-3.582, 5.077, -3.569], [0.000, 0.182, 7.627]],
  "species": ["Ag", "Cl", "Cl", "Cl", "Cl", "Cl", "Cl", "Cl", "Cl", "Ni", "Ni", "Ni"],
  "fractional_positions": [[0.000, 0.000, 0.000], [0.251, 0.964, 0.210], [0.713, 0.964, 0.210], [0.263, 0.526, 0.793], [0.749, 0.497, 0.790], [0.737, 0.474, 0.207], [0.287, 0.036, 0.790], [0.251, 0.503, 0.210], [0.749, 0.036, 0.790], [0.000, 0.500, 0.000], [0.500, 0.000, 0.000], [0.500, 0.500, 0.000]],
  "dos_at_fermi_per_ev_fu": 7.43,
  "formation_energy_uncorrected_ev_per_atom": -0.5005
}

In eV/cell, the calculated total energy values for the records above are, in order, -62.46; -59.63; -40.97.
In Mg/m³, the ρ values for the records above are, in order, 3.884; 4.362; 3.342.